Record 1
# Ca6TbTe8

Ca6TbTe8 after structural relaxation (PBE, the Alexandria database).

Cell lengths 12.7235, 12.7235, 12.7235 Å; angles 90.00, 90.00, 90.00 degrees
Space group Fm-3m (No. 225)
Symmetry-distinct sites (fractional):
Ca: 0.0000 0.2500 0.2500 [24 per cell]
Tb: 0.0000 0.0000 0.0000 [4 per cell]
Te: 0.0000 0.0000 0.2449 [24 per cell]
Te: 0.2500 0.2500 0.2500 [8 per cell]

Calculated values
The value obtained for the formation energy (no corrections) is -1.508 eV/atom. The value obtained for the mass density is 4.6 g cm⁻³.

Record 2
# La3RuAu

La3RuAu after structural relaxation (PBE, the Alexandria database).

Cell lengths 4.8280, 4.8280, 16.3471 Å; angles 90.00, 90.00, 120.00 degrees
Space group P6_3/mmc (No. 194)
Symmetry-distinct sites (fractional):
La: 0.0000 0.0000 0.2500 [2 per cell]
La: 0.3333 0.6667 0.0837 [4 per cell]
Ru: 0.3333 0.6667 0.2500 [2 per cell]
Au: 0.0000 0.0000 0.0000 [2 per cell]

Calculated values
The value obtained for the mass density is 7.2 g cm⁻³. The formation energy comes out at -1.4 eV per formula unit. The calculation puts the energy above the most stable polymorph in this dataset at 198 meV/atom.